Entry from Alexandria via LeMat-Bulk: a relaxed structure of AcCrBi2O6 (PBE with a Hubbard U).

The space group is P1 (No. 1) and the conventional cell measures 5.854, 5.856 and 6.326 Å, with angles of 65.11, 65.07 and 62.62 degrees. The distinct sites, in fractional coordinates, are Ac at (0.000, 0.000, 0.000), Cr at (0.530, 0.470, 0.500), Bi at (0.161, 0.313, 0.317), Bi at (0.688, 0.840, 0.683), O at (0.233, 0.632, 0.334), O at (0.367, 0.192, 0.802), O at (0.369, 0.765, 0.668), O at (0.695, 0.162, 0.351), O at (0.808, 0.633, 0.199) and O at (0.839, 0.303, 0.649).

For the total energy, the calculation gives -67.60 eV/cell. The calculation puts the density of states at the Fermi level at 0.00 states/eV per atom. The value obtained for the total magnetic moment is 3.00 μB per formula unit.